CeCrO3, relaxed, DFT PBE with a Hubbard U; size of the total moment = 4.00 μB per formula unit; calculated total energy = -8.21 eV/atom
1.0
3.9060 0.0000 0.0000
0.0000 3.9060 0.0000
0.0000 0.0000 3.9060
Ce Cr O
1 1 3
direct
0.0000 0.0000 0.0000 Ce
0.5000 0.5000 0.5000 Cr
0.0000 0.5000 0.5000 O
0.5000 0.0000 0.5000 O
0.5000 0.5000 0.0000 O